Record 1
DFT (PBE) results for a geometry-optimized Sm2HoHg4 structure.

Output
ΔE to the lowest computed polymorph, meV per atom: 0

a b c (Å): 5.1305 5.1305 9.3375
angles (deg): 74.05 74.05 60.00
Element x y z (fractional)
Sm 0.7557 0.7557 0.7328
Sm 0.2443 0.2443 0.2672
Ho 0.0000 0.0000 0.0000
Hg 0.8736 0.8736 0.3793
Hg 0.1264 0.1264 0.6207
Hg 0.6283 0.6283 0.1151
Hg 0.3717 0.3717 0.8849

***

Record 2
DFT (PBE) results for a geometry-optimized SmHo5Hg4 structure.

a b c (Å): 3.6743 3.6743 19.9877
angles (deg): 90.00 90.00 90.00
Element x y z (fractional)
Sm 0.0000 0.0000 0.0000
Ho 0.5000 0.5000 0.1243
Ho 0.5000 0.5000 0.3129
Ho 0.5000 0.5000 0.5000
Ho 0.5000 0.5000 0.6871
Ho 0.5000 0.5000 0.8757
Hg 0.0000 0.0000 0.2172
Hg 0.0000 0.0000 0.4052
Hg 0.0000 0.0000 0.5948
Hg 0.0000 0.0000 0.7828

***

no.,Fermi-level density of states (states/eV/cell),energy of formation (kJ per mole of atoms)
1,5.2,-33
2,10.5,-36